This record from Alexandria via LeMat-Bulk describes a relaxed Dy2TmTlN crystal. The functional is GGA-PBE.

a b c (Å): 4.8203 4.8203 4.7397
angles (deg): 90.00 90.00 90.00
With the nearest neighbours (Å) after each atom.
Element x y z (fractional)
Dy  0.0000  0.5000  0.0000  2 N 2.41
Dy  0.5000  0.0000  0.0000  2 N 2.41
Tm  0.0000  0.0000  0.5000  2 N 2.37
Tl  0.5000  0.5000  0.5000  8 Dy 3.38, 4 Tm 3.41
N  0.0000  0.0000  0.0000  2 Tm 2.37, 4 Dy 2.41

Summary:
space-group type	P4/mmm
raw formation energy	-945	meV/atom
crystal system	tetragonal

This record from Alexandria via LeMat-Bulk describes a relaxed DyY2TlN crystal. The functional is GGA-PBE.

a b c (Å): 4.8319 4.8319 4.8236
angles (deg): 90.00 90.00 90.00
With the nearest neighbours (Å) after each atom.
Element x y z (fractional)
Dy  0.0000  0.0000  0.0000  2 N 2.41
Y  0.0000  0.5000  0.5000  2 N 2.42
Y  0.5000  0.0000  0.5000  2 N 2.42
Tl  0.5000  0.5000  0.0000  8 Y 3.41, 4 Dy 3.42
N  0.0000  0.0000  0.5000  2 Dy 2.41, 4 Y 2.42

Summary:
space-group type	P4/mmm
raw formation energy	-952	meV/atom
crystal system	tetragonal

This record from Alexandria via LeMat-Bulk describes a relaxed Dy2YTlN crystal. The functional is GGA-PBE.

a b c (Å): 4.8224 4.8224 4.8307
angles (deg): 90.00 90.00 90.00
With the nearest neighbours (Å) after each atom.
Element x y z (fractional)
Dy  0.0000  0.5000  0.0000  2 N 2.41
Dy  0.5000  0.0000  0.0000  2 N 2.41
Y  0.0000  0.0000  0.5000  2 N 2.42
Tl  0.5000  0.5000  0.5000  4 Y 3.41, 8 Dy 3.41
N  0.0000  0.0000  0.0000  4 Dy 2.41, 2 Y 2.42

Summary:
space-group type	P4/mmm
raw formation energy	-946	meV/atom
crystal system	tetragonal

This record from Alexandria via LeMat-Bulk describes a relaxed Dy4TmN4 crystal. The functional is GGA-PBE.

a b c (Å): 6.0209 6.0209 6.0209
angles (deg): 99.61 99.61 131.78
With the nearest neighbours (Å) after each atom.
Element x y z (fractional)
Dy  0.1089  0.6891  0.7980  5 N 2.35-2.54
Dy  0.3109  0.1089  0.4198  5 N 2.35-2.54
Dy  0.6891  0.8911  0.5802  5 N 2.35-2.54
Dy  0.8911  0.3109  0.2020  5 N 2.35-2.54
Tm  0.5000  0.5000  0.0000  4 N 2.41
N  0.2049  0.4028  0.6077  5 Dy 2.35-2.54, 1 Tm 2.41
N  0.4028  0.7951  0.1978  5 Dy 2.35-2.54, 1 Tm 2.41
N  0.5972  0.2049  0.8022  5 Dy 2.35-2.54, 1 Tm 2.41
N  0.7951  0.5972  0.3923  5 Dy 2.35-2.54, 1 Tm 2.41

Summary:
space-group type	I4/m
raw formation energy	-1522	meV/atom
crystal system	tetragonal

This record from Alexandria via LeMat-Bulk describes a relaxed DyTmN crystal. The functional is GGA-PBE.

a b c (Å): 3.4625 3.4625 5.9132
angles (deg): 90.00 90.00 120.00
With the nearest neighbours (Å) after each atom.
Element x y z (fractional)
Dy  0.0000  0.0000  0.0000  3 N 2.43
Tm  0.3333  0.6667  0.4499  3 N 2.37
N  0.6667  0.3333  0.2346  3 Tm 2.37, 3 Dy 2.43

Summary:
excess energy over the best structure of this formula in the dataset	0.000	eV/atom
space-group type	P3m1
raw formation energy	-1068	meV/atom
crystal system	trigonal

This record from Alexandria via LeMat-Bulk describes a relaxed DyTm3N4 crystal. The functional is GGA-PBE.

a b c (Å): 4.8384 4.8384 4.8384
angles (deg): 90.00 90.00 90.00
With the nearest neighbours (Å) after each atom.
Element x y z (fractional)
Dy  0.0000  0.0000  0.0000  6 N 2.42
Tm  0.0000  0.5000  0.5000  6 N 2.42
Tm  0.5000  0.0000  0.5000  6 N 2.42
Tm  0.5000  0.5000  0.0000  6 N 2.42
N  0.0000  0.0000  0.5000  2 Dy 2.42, 4 Tm 2.42
N  0.0000  0.5000  0.0000  2 Dy 2.42, 4 Tm 2.42
N  0.5000  0.0000  0.0000  2 Dy 2.42, 4 Tm 2.42
N  0.5000  0.5000  0.5000  6 Tm 2.42

Summary:
space-group type	Pm-3m
raw formation energy	-1793	meV/atom
crystal system	cubic

This record from Alexandria via LeMat-Bulk describes a relaxed DyTm3N4 crystal. The functional is GGA-PBE.

a b c (Å): 5.9236 6.8434 5.9235
angles (deg): 90.00 109.46 90.00
With the nearest neighbours (Å) after each atom.
Element x y z (fractional)
Dy  0.0000  0.1257  0.2500  6 N 2.43-2.44
Dy  0.0000  0.8743  0.7500  6 N 2.43-2.44
Tm  0.0000  0.3758  0.7500  6 N 2.41-2.42
Tm  0.0000  0.6242  0.2500  6 N 2.41-2.42
Tm  0.5000  0.1257  0.7500  6 N 2.40-2.42
Tm  0.5000  0.3757  0.2500  6 N 2.40-2.42
Tm  0.5000  0.6243  0.7500  6 N 2.40-2.42
Tm  0.5000  0.8743  0.2500  6 N 2.40-2.42
N  0.2510  0.3769  0.5020  5 Tm 2.40-2.42, 1 Dy 2.43
N  0.2510  0.6231  0.0020  5 Tm 2.40-2.42, 1 Dy 2.43
N  0.2533  0.1268  0.9995  4 Tm 2.40-2.42, 2 Dy 2.44
N  0.2533  0.8732  0.4995  4 Tm 2.40-2.42, 2 Dy 2.44
N  0.7467  0.1268  0.5005  4 Tm 2.40-2.42, 2 Dy 2.44
N  0.7467  0.8732  0.0005  4 Tm 2.40-2.42, 2 Dy 2.44
N  0.7490  0.3769  0.9980  5 Tm 2.40-2.42, 1 Dy 2.43
N  0.7490  0.6231  0.4980  5 Tm 2.40-2.42, 1 Dy 2.43

Summary:
space-group type	P2/c
raw formation energy	-1794	meV/atom
crystal system	monoclinic

This record from Alexandria via LeMat-Bulk describes a relaxed Dy2TmN crystal. The functional is GGA-PBE.

a b c (Å): 9.5541 9.5541 9.5541
angles (deg): 20.80 20.80 20.80
With the nearest neighbours (Å) after each atom.
Element x y z (fractional)
Dy  0.1193  0.1193  0.1193  3 N 2.39
Dy  0.8807  0.8807  0.8807  3 N 2.39
Tm  0.0000  0.0000  0.0000  2 Dy 3.34, 6 Tm 3.45
N  0.5000  0.5000  0.5000  6 Dy 2.39

Summary:
space-group type	R-3m
raw formation energy	-662	meV/atom
crystal system	trigonal

This record from Alexandria via LeMat-Bulk describes a relaxed Dy2TmN3 crystal. The functional is GGA-PBE.

a b c (Å): 5.9758 5.9758 5.9758
angles (deg): 146.44 131.81 60.00
With the nearest neighbours (Å) after each atom.
Element x y z (fractional)
Dy  0.1664  0.1664  0.0000  6 N 2.44-2.46
Dy  0.8336  0.8336  0.0000  6 N 2.44-2.46
Tm  0.5000  0.5000  0.0000  6 N 2.42-2.44
N  0.0000  0.5000  0.5000  4 Dy 2.44, 2 Tm 2.44
N  0.3360  0.8360  0.5000  2 Tm 2.42, 4 Dy 2.44-2.46
N  0.6640  0.1640  0.5000  2 Tm 2.42, 4 Dy 2.44-2.46

Summary:
space-group type	Immm
raw formation energy	-1743	meV/atom
crystal system	orthorhombic

This record from Alexandria via LeMat-Bulk describes a relaxed Dy4Tm2N crystal. The functional is GGA-PBE.

a b c (Å): 9.3402 9.3402 9.3402
angles (deg): 150.39 150.39 42.37
With the nearest neighbours (Å) after each atom.
Element x y z (fractional)
Dy  0.0000  0.5000  0.5000  2 N 2.39
Dy  0.1341  0.1341  0.0000  1 N 2.34
Dy  0.5000  0.0000  0.5000  2 N 2.39
Dy  0.8659  0.8659  0.0000  1 N 2.34
Tm  0.3336  0.3336  0.0000  9 Dy 3.42-3.75
Tm  0.6664  0.6664  0.0000  9 Dy 3.42-3.75
N  0.0000  0.0000  0.0000  6 Dy 2.34-2.39

Summary:
space-group type	I4/mmm
raw formation energy	-253	meV/atom
crystal system	tetragonal

This record from Alexandria via LeMat-Bulk describes a relaxed DyTm3N crystal. The functional is GGA-PBE.

a b c (Å): 4.8862 4.8862 4.8862
angles (deg): 90.00 90.00 90.00
With the nearest neighbours (Å) after each atom.
Element x y z (fractional)
Dy  0.0000  0.0000  0.0000  12 Tm 3.46
Tm  0.0000  0.5000  0.5000  2 N 2.44
Tm  0.5000  0.0000  0.5000  2 N 2.44
Tm  0.5000  0.5000  0.0000  2 N 2.44
N  0.5000  0.5000  0.5000  6 Tm 2.44

Summary:
space-group type	Pm-3m
raw formation energy	-531	meV/atom
crystal system	cubic

This record from Alexandria via LeMat-Bulk describes a relaxed Dy2Tm3N4 crystal. The functional is GGA-PBE.

a b c (Å): 5.9645 5.9645 8.4690
angles (deg): 118.09 118.09 33.49
With the nearest neighbours (Å) after each atom.
Element x y z (fractional)
Dy  0.1047  0.1047  0.3892  4 N 2.35-2.48
Dy  0.8953  0.8953  0.6108  4 N 2.35-2.48
Tm  0.2946  0.2946  0.1882  5 N 2.33-2.45
Tm  0.5000  0.5000  0.0000  6 N 2.43-2.44
Tm  0.7054  0.7054  0.8118  5 N 2.33-2.45
N  0.1030  0.1030  0.9037  5 Tm 2.33-2.44, 1 Dy 2.45
N  0.3006  0.3006  0.7011  3 Dy 2.35-2.48, 3 Tm 2.43-2.45
N  0.6994  0.6994  0.2989  3 Dy 2.35-2.48, 3 Tm 2.43-2.45
N  0.8970  0.8970  0.0963  5 Tm 2.33-2.44, 1 Dy 2.45

Summary:
space-group type	C2/m
raw formation energy	-1573	meV/atom
crystal system	monoclinic

This record from Alexandria via LeMat-Bulk describes a relaxed DyTm2N crystal. The functional is GGA-PBE.

a b c (Å): 9.0625 9.0625 9.0625
angles (deg): 21.79 21.79 21.79
With the nearest neighbours (Å) after each atom.
Element x y z (fractional)
Dy  0.0000  0.0000  0.0000  6 Dy 3.43, 6 Tm 3.66
Tm  0.2172  0.2172  0.2172  3 N 2.39
Tm  0.7828  0.7828  0.7828  3 N 2.39
N  0.5000  0.5000  0.5000  6 Tm 2.39

Summary:
space-group type	R-3m
raw formation energy	-826	meV/atom
crystal system	trigonal

This record from Alexandria via LeMat-Bulk describes a relaxed Dy5TmN6 crystal. The functional is GGA-PBE.

a b c (Å): 5.9962 5.9962 5.9955
angles (deg): 99.59 99.59 120.01
With the nearest neighbours (Å) after each atom.
Element x y z (fractional)
Dy  0.0000  0.0000  0.0000  6 N 2.45-2.47
Dy  0.1667  0.8333  0.5000  6 N 2.45
Dy  0.3337  0.6663  0.0000  6 N 2.44-2.47
Dy  0.6663  0.3337  0.0000  6 N 2.44-2.47
Dy  0.8333  0.1667  0.5000  6 N 2.45
Tm  0.5000  0.5000  0.5000  6 N 2.43
N  0.0864  0.4172  0.2514  1 Tm 2.43, 5 Dy 2.45-2.47
N  0.2522  0.2522  0.7486  1 Tm 2.43, 5 Dy 2.44-2.47
N  0.4172  0.0864  0.2514  1 Tm 2.43, 5 Dy 2.45-2.47
N  0.5828  0.9136  0.7486  1 Tm 2.43, 5 Dy 2.45-2.47
N  0.7478  0.7478  0.2514  1 Tm 2.43, 5 Dy 2.44-2.47
N  0.9136  0.5828  0.7486  1 Tm 2.43, 5 Dy 2.45-2.47

Summary:
space-group type	C2/m
raw formation energy	-1725	meV/atom
crystal system	monoclinic

This record from Alexandria via LeMat-Bulk describes a relaxed DyTmN crystal. The functional is GGA-PBE.

a b c (Å): 4.2095 4.2095 4.2095
angles (deg): 60.00 60.00 60.00
With the nearest neighbours (Å) after each atom.
Element x y z (fractional)
Dy  0.0000  0.0000  0.0000  4 N 2.58
Tm  0.5000  0.5000  0.5000  4 N 2.58
N  0.2500  0.2500  0.2500  4 Dy 2.58, 4 Tm 2.58

Summary:
excess energy over the best structure of this formula in the dataset	0.765	eV/atom
space-group type	F-43m
raw formation energy	-303	meV/atom
crystal system	cubic

This record from Alexandria via LeMat-Bulk describes a relaxed DyTm2UN4 crystal. The functional is GGA-PBE.

a b c (Å): 5.9212 3.4239 5.9307
angles (deg): 90.00 109.01 90.00
With the nearest neighbours (Å) after each atom.
Element x y z (fractional)
Dy  0.0000  0.0000  0.0000  6 N 2.43-2.45
Tm  0.5000  0.0000  0.5000  6 N 2.39-2.41
Tm  0.5000  0.5000  0.0000  6 N 2.45-2.50
U  0.0000  0.5000  0.5000  6 N 2.32-2.41
N  0.2445  0.5000  0.2634  1 U 2.32, 3 Tm 2.41-2.50, 2 Dy 2.45
N  0.2483  0.0000  0.7439  3 Tm 2.39-2.45, 2 U 2.41, 1 Dy 2.43
N  0.7517  0.0000  0.2561  3 Tm 2.39-2.45, 2 U 2.41, 1 Dy 2.43
N  0.7555  0.5000  0.7366  1 U 2.32, 3 Tm 2.41-2.50, 2 Dy 2.45

Summary:
space-group type	P2/m
raw formation energy	-1665	meV/atom
crystal system	monoclinic

This record from Alexandria via LeMat-Bulk describes a relaxed Dy2TmUN4 crystal. The functional is GGA-PBE.

a b c (Å): 5.9404 3.4438 5.9569
angles (deg): 90.00 108.97 90.00
With the nearest neighbours (Å) after each atom.
Element x y z (fractional)
Dy  0.0000  0.0000  0.0000  6 N 2.49-2.54
Dy  0.5000  0.5000  0.0000  6 N 2.44-2.46
Tm  0.0000  0.5000  0.5000  6 N 2.40-2.42
U  0.5000  0.0000  0.5000  6 N 2.31-2.39
N  0.2579  0.0000  0.7341  1 U 2.31, 2 Tm 2.42, 3 Dy 2.46-2.54
N  0.2577  0.5000  0.2623  2 U 2.39, 1 Tm 2.40, 3 Dy 2.44-2.49
N  0.7421  0.0000  0.2659  1 U 2.31, 2 Tm 2.42, 3 Dy 2.46-2.54
N  0.7423  0.5000  0.7377  2 U 2.39, 1 Tm 2.40, 3 Dy 2.44-2.49

Summary:
space-group type	P2/m
raw formation energy	-1650	meV/atom
crystal system	monoclinic

This record from Alexandria via LeMat-Bulk describes a relaxed DyTmW2N6 crystal. The functional is GGA-PBE.

a b c (Å): 7.3996 7.3996 6.2979
angles (deg): 107.36 107.36 80.82
With the nearest neighbours (Å) after each atom.
Element x y z (fractional)
Dy  0.0920  0.9080  0.7500  6 N 2.29-2.49
Dy  0.9080  0.0920  0.2500  6 N 2.29-2.49
Tm  0.2833  0.7167  0.2500  6 N 2.29-2.44
Tm  0.7167  0.2833  0.7500  6 N 2.29-2.44
W  0.2024  0.3792  0.7853  4 N 1.80-1.94
W  0.3792  0.2024  0.2853  4 N 1.80-1.94
W  0.6208  0.7976  0.7147  4 N 1.80-1.94
W  0.7976  0.6208  0.2147  4 N 1.80-1.94
N  0.0015  0.2202  0.6585  1 W 1.88
N  0.1177  0.6264  0.8417  1 W 1.80
N  0.2202  0.0015  0.1585  1 W 1.88
N  0.3339  0.3748  0.0913  2 W 1.89-1.94
N  0.3736  0.8823  0.6583  1 W 1.80
N  0.3748  0.3339  0.5913  2 W 1.89-1.94
N  0.6252  0.6661  0.4087  2 W 1.89-1.94
N  0.6264  0.1177  0.3417  1 W 1.80
N  0.6661  0.6252  0.9087  2 W 1.89-1.94
N  0.7798  0.9985  0.8415  1 W 1.88
N  0.8823  0.3736  0.1583  1 W 1.80
N  0.9985  0.7798  0.3415  1 W 1.88

Summary:
space-group type	C2/c
raw formation energy	-1012	meV/atom
crystal system	monoclinic

This record from Alexandria via LeMat-Bulk describes a relaxed DyY2TmN4 crystal. The functional is GGA-PBE.

a b c (Å): 5.9892 3.4588 5.9897
angles (deg): 90.00 109.45 90.00
With the nearest neighbours (Å) after each atom.
Element x y z (fractional)
Dy  0.0000  0.0000  0.0000  6 N 2.44
Y  0.0000  0.5000  0.5000  6 N 2.46
Y  0.5000  0.0000  0.5000  6 N 2.45
Tm  0.5000  0.5000  0.0000  6 N 2.43
N  0.2511  0.5000  0.2477  1 Tm 2.43, 2 Dy 2.44, 3 Y 2.45-2.46
N  0.2532  0.0000  0.7537  2 Tm 2.43, 1 Dy 2.44, 3 Y 2.45-2.46
N  0.7468  0.0000  0.2463  2 Tm 2.43, 1 Dy 2.44, 3 Y 2.45-2.46
N  0.7489  0.5000  0.7523  1 Tm 2.43, 2 Dy 2.44, 3 Y 2.45-2.46

Summary:
space-group type	P2/m
raw formation energy	-1727	meV/atom
crystal system	monoclinic

This record from Alexandria via LeMat-Bulk describes a relaxed Dy2TmZr3N6 crystal. The functional is GGA-PBE.

a b c (Å): 5.7712 5.7712 5.8235
angles (deg): 99.55 99.55 119.91
With the nearest neighbours (Å) after each atom.
Element x y z (fractional)
Dy  0.1666  0.8334  0.0000  6 N 2.42
Dy  0.8334  0.1666  0.0000  6 N 2.42
Tm  0.5000  0.5000  0.0000  6 N 2.40
Zr  0.0000  0.0000  0.5000  6 N 2.31-2.34
Zr  0.3339  0.6661  0.5000  6 N 2.31-2.34
Zr  0.6661  0.3339  0.5000  6 N 2.31-2.34
N  0.0818  0.4116  0.7352  3 Zr 2.31-2.34, 1 Tm 2.40, 2 Dy 2.42
N  0.2585  0.2585  0.2643  3 Zr 2.31-2.34, 1 Tm 2.40, 2 Dy 2.42
N  0.4116  0.0818  0.7352  3 Zr 2.31-2.34, 1 Tm 2.40, 2 Dy 2.42
N  0.5884  0.9182  0.2648  3 Zr 2.31-2.34, 1 Tm 2.40, 2 Dy 2.42
N  0.7415  0.7415  0.7357  3 Zr 2.31-2.34, 1 Tm 2.40, 2 Dy 2.42
N  0.9182  0.5884  0.2648  3 Zr 2.31-2.34, 1 Tm 2.40, 2 Dy 2.42

Summary:
space-group type	C2/m
raw formation energy	-1748	meV/atom
crystal system	monoclinic